(1)
# Nb3NiRu2

A relaxed Nb3NiRu2 crystal (PBE, the Alexandria database).

Lattice parameters (Å, degrees): 4.3482 13.3860 6.4708 90.00 90.00 90.00
Closest atoms and distances in Å follow each position.
Space group Cmmm (No. 65)
Symmetry-distinct sites (fractional):
Nb (0.0000, 0.0000, 0.2411) (multiplicity 4)  2 Ni 2.51, 6 Ru 2.68-2.74
Nb (0.0000, 0.3230, 0.2668) (multiplicity 8)  3 Ni 2.69-2.89, 5 Ru 2.71-2.93, 2 Nb 2.92
Ni (0.0000, 0.1392, 0.5000) (multiplicity 4)  6 Nb 2.51-2.69
Ru (0.0000, 0.1670, 0.0000) (multiplicity 4)  8 Nb 2.71-2.78
Ru (0.0000, 0.5000, 0.0000) (multiplicity 2)  8 Nb 2.68-2.93
Ru (0.0000, 0.5000, 0.5000) (multiplicity 2)  8 Nb 2.74-2.81, 4 Ni 2.86

The calculation puts the raw total energy at -0.681 Ry per atom. For the density of states at the Fermi level, the calculation gives 17.04 states/eV/cell. The calculation puts the calculated formation energy at -1.09 eV/f.u.


(2)
# La4Pr8Sc

A relaxed La4Pr8Sc crystal (PBE, the Alexandria database).

Lattice parameters (Å, degrees): 11.9343 11.9343 11.7251 90.00 90.00 120.00
Closest atoms and distances in Å follow each position.
Space group R-3m (No. 166, hexagonal axes)
Symmetry-distinct sites (fractional):
La (0.0000, 0.0000, 0.0000) (multiplicity 3)  2 Pr 2.87
La (0.0000, 0.5000, 0.0000) (multiplicity 9)  6 Pr 3.45-3.60
Pr (0.0000, 0.0000, 0.2444) (multiplicity 6)  1 La 2.87, 1 Sc 3.00
Pr (0.0010, 0.5005, 0.6662) (multiplicity 18)  3 La 3.43-3.45, 3 Pr 3.44-3.61
Sc (0.0000, 0.0000, 0.5000) (multiplicity 3)  2 Pr 3.00

The calculation puts the raw total energy at -0.337 Ry per atom. For the density of states at the Fermi level, the calculation gives 86.69 states/eV/cell. The calculation puts the calculated formation energy at 4.73 eV/f.u.


(3)
# Ba6NiHg2

A relaxed Ba6NiHg2 crystal (PBE, the Alexandria database).

Lattice parameters (Å, degrees): 8.0026 8.9437 14.1480 90.00 123.85 90.00
Closest atoms and distances in Å follow each position.
Space group P2_1/c (No. 14)
Symmetry-distinct sites (fractional):
Ba (0.1120, 0.0296, 0.2458) (multiplicity 4)  1 Ni 3.08
Ba (0.2271, 0.6933, 0.0639) (multiplicity 4)  1 Ni 3.13
Ba (0.3810, 0.1710, 0.0612) (multiplicity 4)  1 Ni 3.07
Ni (0.0000, 0.0000, 0.0000) (multiplicity 2)  6 Ba 3.07-3.13
Hg (0.2993, 0.1156, 0.7494) (multiplicity 4)  6 Ba 3.50-3.63

The calculation puts the raw total energy at -0.163 Ry per atom. For the density of states at the Fermi level, the calculation gives 19.95 states/eV/cell. The calculation puts the calculated formation energy at -2.00 eV/f.u.


(4)
# Pr2Ho12Th5

A relaxed Pr2Ho12Th5 crystal (PBE, the Alexandria database).

Lattice parameters (Å, degrees): 18.5714 7.0139 10.3088 90.00 112.82 90.00
Closest atoms and distances in Å follow each position.
Space group C2/m (No. 12)
Symmetry-distinct sites (fractional):
Pr (0.0000, 0.2177, 0.0000) (multiplicity 4)  1 Pr 3.05, 2 Ho 3.07
Ho (0.0012, 0.0000, 0.3315) (multiplicity 4)  7 Ho 3.36-3.73, 2 Pr 3.73
Ho (0.0329, 0.5000, 0.2437) (multiplicity 4)  2 Th 2.93-3.22, 2 Pr 3.07
Ho (0.1575, 0.2543, 0.8632) (multiplicity 8)  6 Ho 3.36-3.70, 2 Th 3.52-3.53, 1 Pr 3.72
Ho (0.1670, 0.2489, 0.5206) (multiplicity 8)  6 Ho 3.27-3.60, 2 Th 3.50-3.56
Th (0.0000, 0.5000, 0.5000) (multiplicity 2)  2 Ho 2.93
Th (0.1809, 0.0000, 0.2110) (multiplicity 4)  2 Th 3.53, 8 Ho 3.56-3.87, 2 Pr 3.56
Th (0.1887, 0.5000, 0.1776) (multiplicity 4)  5 Ho 3.22-3.53, 2 Th 3.53

The calculation puts the raw total energy at -0.377 Ry per atom. For the energy above the most stable polymorph in this dataset, the calculation gives 1.215 kcal/mol of atoms. For the density of states at the Fermi level, the calculation gives 59.40 states/eV/cell. The calculation puts the calculated formation energy at 4.13 eV/f.u.


(5)
# AgAs2Os

A relaxed AgAs2Os crystal (PBE, the Alexandria database).

Lattice parameters (Å, degrees): 2.9724 2.9724 29.1683 90.00 90.00 120.00
Closest atoms and distances in Å follow each position.
Space group R3m (No. 160, hexagonal axes)
Symmetry-distinct sites (fractional):
Ag (0.0000, 0.0000, 0.0000) (multiplicity 3)  3 As 2.85, 3 Os 2.92, 6 Ag 2.97
As (0.0000, 0.0000, 0.5245) (multiplicity 3)  3 Os 2.47
As (0.0000, 0.0000, 0.7446) (multiplicity 3)  3 Ag 2.85, 6 As 2.97
Os (0.0000, 0.0000, 0.2523) (multiplicity 3)  3 As 2.47

The calculation puts the raw total energy at -0.401 Ry per atom. For the energy above the most stable polymorph in this dataset, the calculation gives 4.631 kcal/mol of atoms. For the density of states at the Fermi level, the calculation gives 11.01 states/eV/cell. The calculation puts the calculated formation energy at 1.54 eV/f.u.


(6)
# NaGaCu2

A relaxed NaGaCu2 crystal (PBE, the Alexandria database).

Lattice parameters (Å, degrees): 3.0214 3.0214 7.2144 90.00 90.00 90.00
Closest atoms and distances in Å follow each position.
Space group P4/mmm (No. 123)
Symmetry-distinct sites (fractional):
Na (0.0000, 0.0000, 0.0000) (multiplicity 1)  4 Na 3.02, 8 Cu 3.08
Ga (0.0000, 0.0000, 0.5000) (multiplicity 1)  8 Cu 2.55
Cu (0.5000, 0.5000, 0.3074) (multiplicity 2)  4 Ga 2.55, 1 Cu 2.78

The calculation puts the raw total energy at -0.222 Ry per atom. For the density of states at the Fermi level, the calculation gives 1.20 states/eV/cell. The calculation puts the calculated formation energy at 0.44 eV/f.u.


(7)
# Sr2AlIrS

A relaxed Sr2AlIrS crystal (PBE, the Alexandria database).

Lattice parameters (Å, degrees): 5.9376 5.9376 4.4336 90.00 90.00 90.00
Closest atoms and distances in Å follow each position.
Space group P4/mmm (No. 123)
Symmetry-distinct sites (fractional):
Sr (0.0000, 0.5000, 0.0000) (multiplicity 2)  2 Al 2.97
Al (0.0000, 0.0000, 0.0000) (multiplicity 1)  2 Ir 2.22
Ir (0.0000, 0.0000, 0.5000) (multiplicity 1)  2 Al 2.22
S (0.5000, 0.5000, 0.5000) (multiplicity 1)  8 Sr 3.71

The calculation puts the formation energy without anion corrections at -102 meV/atom. The calculation puts the raw total energy at -0.303 Ry per atom. For the density of states at the Fermi level, the calculation gives 2.35 states/eV/cell.


(8)
# CaTaMnRh2

A relaxed CaTaMnRh2 crystal (PBE, the Alexandria database).

Lattice parameters (Å, degrees): 4.5161 4.5161 4.6194 90.00 90.00 90.00
Closest atoms and distances in Å follow each position.
Space group P4/mmm (No. 123)
Symmetry-distinct sites (fractional):
Ca (0.0000, 0.0000, 0.0000) (multiplicity 1)  2 Mn 2.31
Ta (0.5000, 0.5000, 0.0000) (multiplicity 1)  4 Ca 3.19, 8 Rh 3.23
Mn (0.0000, 0.0000, 0.5000) (multiplicity 1)  4 Rh 2.26, 2 Ca 2.31
Rh (0.0000, 0.5000, 0.5000) (multiplicity 2)  2 Mn 2.26

The calculation puts the raw total energy at -0.475 Ry per atom. For the density of states at the Fermi level, the calculation gives 6.81 states/eV/cell. The calculation puts the calculated formation energy at 5.43 eV/f.u.